{"formula": "CaCuTe2Pd", "functional": "meta-GGA SCAN", "state": "PBEsol geometry", "lattice_angstrom": [[5.086, 0.000, 0.000], [0.000, 5.086, 0.000], [0.000, 0.000, 4.684]], "species": ["Ca", "Cu", "Te", "Te", "Pd"], "fractional_positions": [[0.000, 0.000, 0.000], [0.500, 0.500, 0.500], [0.000, 0.500, 0.500], [0.500, 0.000, 0.500], [0.500, 0.500, 0.000]], "raw_formation_energy_mev_per_atom": -323, "sg": "No. 123", "total_magnetization_mub_per_fu": 0.00}

{"formula": "CaCu2Pt2", "functional": "meta-GGA SCAN", "state": "PBEsol geometry", "lattice_angstrom": [[3.855, 0.000, 0.000], [0.000, 3.855, 0.000], [0.000, 0.000, 11.525]], "species": ["Ca", "Ca", "Cu", "Cu", "Cu", "Cu", "Pt", "Pt", "Pt", "Pt"], "fractional_positions": [[0.000, 0.000, 0.000], [0.500, 0.500, 0.500], [0.000, 0.500, 0.250], [0.000, 0.500, 0.750], [0.500, 0.000, 0.250], [0.500, 0.000, 0.750], [0.000, 0.000, 0.390], [0.000, 0.000, 0.610], [0.500, 0.500, 0.110], [0.500, 0.500, 0.890]], "formation_energy_ev_per_atom": -0.438, "sg": "No. 139", "total_magnetization_mub_per_fu": 0.00}

{"formula": "CaCuPt2", "functional": "meta-GGA SCAN", "state": "PBEsol geometry", "lattice_angstrom": [[2.813, 0.000, 0.000], [0.000, 4.017, 0.000], [0.000, 0.000, 5.796]], "species": ["Ca", "Cu", "Pt", "Pt"], "fractional_positions": [[0.000, 0.000, 0.000], [0.500, 0.500, 0.303], [0.000, 0.000, 0.483], [0.500, 0.500, 0.738]], "formation_energy_ev_per_atom": -0.349, "sg": "No. 25", "total_magnetization_mub_per_fu": 0.00}

{"formula": "CaCuPt2", "functional": "meta-GGA SCAN", "state": "PBEsol geometry", "lattice_angstrom": [[5.691, 0.000, 0.000], [0.000, 7.632, 0.000], [0.000, 0.000, 2.943]], "species": ["Ca", "Ca", "Cu", "Cu", "Pt", "Pt", "Pt", "Pt"], "fractional_positions": [[0.000, 0.000, 0.000], [0.500, 0.500, 0.000], [0.000, 0.500, 0.000], [0.500, 0.000, 0.000], [0.250, 0.250, 0.500], [0.250, 0.750, 0.500], [0.750, 0.250, 0.500], [0.750, 0.750, 0.500]], "formation_energy_ev_per_atom": -0.413, "sg": "No. 65", "total_magnetization_mub_per_fu": 0.00}

{"formula": "CaCuPt2", "functional": "meta-GGA SCAN", "state": "PBEsol geometry", "lattice_angstrom": [[3.990, 0.000, 0.000], [0.000, 3.990, 0.000], [0.000, 0.000, 8.148]], "species": ["Ca", "Ca", "Cu", "Cu", "Pt", "Pt", "Pt", "Pt"], "fractional_positions": [[0.000, 0.000, 0.000], [0.500, 0.500, 0.500], [0.000, 0.500, 0.250], [0.500, 0.000, 0.750], [0.000, 0.000, 0.500], [0.000, 0.500, 0.750], [0.500, 0.000, 0.250], [0.500, 0.500, 0.000]], "formation_energy_ev_per_atom": -0.383, "sg": "No. 119", "total_magnetization_mub_per_fu": 0.00}

{"formula": "CaCu2Pt", "functional": "meta-GGA SCAN", "state": "PBEsol geometry", "lattice_angstrom": [[3.330, 0.000, 0.000], [0.000, 3.330, 0.000], [0.000, 0.000, 5.891]], "species": ["Ca", "Cu", "Cu", "Pt"], "fractional_positions": [[0.000, 0.000, 0.000], [0.500, 0.500, 0.299], [0.500, 0.500, 0.701], [0.000, 0.000, 0.500]], "formation_energy_ev_per_atom": -0.116, "sg": "No. 123", "total_magnetization_mub_per_fu": 0.00}

{"formula": "CaCu2Pt", "functional": "meta-GGA SCAN", "state": "PBEsol geometry", "lattice_angstrom": [[2.883, 0.000, 0.000], [0.000, 3.532, 0.000], [0.000, 0.000, 6.292]], "species": ["Ca", "Cu", "Cu", "Pt"], "fractional_positions": [[0.000, 0.000, 0.000], [0.000, 0.000, 0.492], [0.500, 0.500, 0.315], [0.500, 0.500, 0.714]], "formation_energy_ev_per_atom": -0.222, "sg": "No. 25", "total_magnetization_mub_per_fu": 0.00}

{"formula": "CaCuPt2", "functional": "meta-GGA SCAN", "state": "PBEsol geometry", "lattice_angstrom": [[6.409, 0.000, 0.000], [0.000, 6.409, 0.000], [0.000, 0.000, 6.409]], "species": ["Ca", "Ca", "Ca", "Ca", "Cu", "Cu", "Cu", "Cu", "Pt", "Pt", "Pt", "Pt", "Pt", "Pt", "Pt", "Pt"], "fractional_positions": [[0.000, 0.000, 0.000], [0.000, 0.500, 0.500], [0.500, 0.000, 0.500], [0.500, 0.500, 0.000], [0.250, 0.250, 0.750], [0.250, 0.750, 0.250], [0.750, 0.250, 0.250], [0.750, 0.750, 0.750], [0.000, 0.000, 0.500], [0.000, 0.500, 0.000], [0.250, 0.250, 0.250], [0.250, 0.750, 0.750], [0.500, 0.000, 0.000], [0.500, 0.500, 0.500], [0.750, 0.250, 0.750], [0.750, 0.750, 0.250]], "formation_energy_ev_per_atom": -0.323, "sg": "No. 216", "total_magnetization_mub_per_fu": 0.00}

{"formula": "CaCuPt4", "functional": "meta-GGA SCAN", "state": "PBEsol geometry", "lattice_angstrom": [[0.000, 3.711, 3.711], [3.711, 0.000, 3.711], [3.711, 3.711, 0.000]], "species": ["Ca", "Cu", "Pt", "Pt", "Pt", "Pt"], "fractional_positions": [[0.000, 0.000, 0.000], [0.250, 0.250, 0.250], [0.126, 0.625, 0.625], [0.625, 0.126, 0.625], [0.625, 0.625, 0.126], [0.625, 0.625, 0.625]], "formation_energy_ev_per_atom": -0.510, "sg": "No. 216", "total_magnetization_mub_per_fu": 0.00}

{"formula": "CaCu2Pt", "functional": "meta-GGA SCAN", "state": "PBEsol geometry", "lattice_angstrom": [[3.970, 0.000, 0.000], [0.000, 3.970, 0.000], [0.000, 0.000, 3.909]], "species": ["Ca", "Cu", "Cu", "Pt"], "fractional_positions": [[0.000, 0.000, 0.000], [0.000, 0.500, 0.500], [0.500, 0.000, 0.500], [0.500, 0.500, 0.000]], "formation_energy_ev_per_atom": -0.251, "sg": "No. 123", "total_magnetization_mub_per_fu": 0.00}

{"formula": "RbCa2Cu2", "functional": "meta-GGA SCAN", "state": "PBEsol geometry", "lattice_angstrom": [[5.279, 0.000, 0.000], [0.000, 5.279, 0.000], [0.000, 0.000, 12.117]], "species": ["Rb", "Rb", "Ca", "Ca", "Ca", "Ca", "Cu", "Cu", "Cu", "Cu"], "fractional_positions": [[0.000, 0.000, 0.000], [0.500, 0.500, 0.500], [0.000, 0.000, 0.334], [0.000, 0.000, 0.666], [0.500, 0.500, 0.166], [0.500, 0.500, 0.834], [0.000, 0.500, 0.250], [0.000, 0.500, 0.750], [0.500, 0.000, 0.250], [0.500, 0.000, 0.750]], "formation_energy_ev_per_atom": 0.320, "sg": "No. 139", "total_magnetization_mub_per_fu": 0.07}

{"formula": "Rb2CaScCu", "functional": "meta-GGA SCAN", "state": "PBEsol geometry", "lattice_angstrom": [[6.327, 0.000, 0.000], [0.000, 6.327, 0.000], [0.000, 0.000, 5.270]], "species": ["Rb", "Rb", "Ca", "Sc", "Cu"], "fractional_positions": [[0.000, 0.500, 0.000], [0.500, 0.000, 0.000], [0.000, 0.000, 0.500], [0.500, 0.500, 0.500], [0.500, 0.500, 0.000]], "formation_energy_ev_per_atom": 0.648, "sg": "No. 123", "total_magnetization_mub_per_fu": 0.01}

{"formula": "CaCuRe", "functional": "meta-GGA SCAN", "state": "PBEsol geometry", "lattice_angstrom": [[2.814, 0.000, 0.000], [-1.407, 2.437, 0.000], [0.000, 0.000, 7.169]], "species": ["Ca", "Cu", "Re"], "fractional_positions": [[0.000, 0.000, 0.000], [0.333, 0.667, 0.648], [0.667, 0.333, 0.357]], "formation_energy_ev_per_atom": 0.791, "sg": "No. 156", "relative_energy_ev_per_atom": 0.0000, "total_magnetization_mub_per_fu": 0.00}

{"formula": "Ca2CuRe", "functional": "meta-GGA SCAN", "state": "PBEsol geometry", "lattice_angstrom": [[2.972, 0.000, 0.000], [0.000, 5.098, 0.000], [0.000, 0.000, 10.772]], "species": ["Ca", "Ca", "Ca", "Ca", "Cu", "Cu", "Re", "Re"], "fractional_positions": [[0.000, 0.000, 0.000], [0.000, 0.500, 0.199], [0.500, 0.000, 0.699], [0.500, 0.500, 0.500], [0.000, 0.500, 0.749], [0.500, 0.000, 0.249], [0.000, 0.000, 0.433], [0.500, 0.500, 0.933]], "formation_energy_ev_per_atom": 0.529, "sg": "No. 44", "total_magnetization_mub_per_fu": 0.00}

{"formula": "CaCu2Re", "functional": "meta-GGA SCAN", "state": "PBEsol geometry", "lattice_angstrom": [[4.475, 0.000, 0.000], [0.000, 4.475, 0.000], [0.000, 0.000, 6.305]], "species": ["Ca", "Ca", "Cu", "Cu", "Cu", "Cu", "Re", "Re"], "fractional_positions": [[0.000, 0.000, 0.000], [0.500, 0.500, 0.500], [0.000, 0.500, 0.250], [0.000, 0.500, 0.750], [0.500, 0.000, 0.250], [0.500, 0.000, 0.750], [0.000, 0.000, 0.500], [0.500, 0.500, 0.000]], "formation_energy_ev_per_atom": 0.620, "sg": "No. 139", "relative_energy_ev_per_atom": 0.1187, "total_magnetization_mub_per_fu": 2.27}

{"formula": "Ca4CuRe", "functional": "meta-GGA SCAN", "state": "PBEsol geometry", "lattice_angstrom": [[0.000, 4.179, 4.179], [4.179, 0.000, 4.179], [4.179, 4.179, 0.000]], "species": ["Ca", "Ca", "Ca", "Ca", "Cu", "Re"], "fractional_positions": [[0.124, 0.124, 0.124], [0.124, 0.124, 0.628], [0.124, 0.628, 0.124], [0.628, 0.124, 0.124], [0.500, 0.500, 0.500], [0.750, 0.750, 0.750]], "formation_energy_ev_per_atom": 1.412, "sg": "No. 216", "total_magnetization_mub_per_fu": 1.73}

{"formula": "CaCuRe", "functional": "meta-GGA SCAN", "state": "PBEsol geometry", "lattice_angstrom": [[6.185, 0.000, 0.000], [0.000, 6.185, 0.000], [0.000, 0.000, 6.185]], "species": ["Ca", "Ca", "Ca", "Ca", "Cu", "Cu", "Cu", "Cu", "Re", "Re", "Re", "Re"], "fractional_positions": [[0.000, 0.000, 0.000], [0.000, 0.500, 0.500], [0.500, 0.000, 0.500], [0.500, 0.500, 0.000], [0.250, 0.250, 0.750], [0.250, 0.750, 0.250], [0.750, 0.250, 0.250], [0.750, 0.750, 0.750], [0.000, 0.000, 0.500], [0.000, 0.500, 0.000], [0.500, 0.000, 0.000], [0.500, 0.500, 0.500]], "formation_energy_ev_per_atom": 1.174, "sg": "No. 216", "relative_energy_ev_per_atom": 0.3833, "total_magnetization_mub_per_fu": 2.44}

{"formula": "CaCu2Re", "functional": "meta-GGA SCAN", "state": "PBEsol geometry", "lattice_angstrom": [[2.775, 0.000, 0.000], [0.000, 2.775, 0.000], [0.000, 0.000, 7.954]], "species": ["Ca", "Cu", "Cu", "Re"], "fractional_positions": [[0.000, 0.000, 0.000], [0.500, 0.500, 0.283], [0.500, 0.500, 0.717], [0.000, 0.000, 0.500]], "formation_energy_ev_per_atom": 0.501, "sg": "No. 123", "relative_energy_ev_per_atom": 0.0000, "total_magnetization_mub_per_fu": 0.00}

{"formula": "Ca2CuRe", "functional": "meta-GGA SCAN", "state": "PBEsol geometry", "lattice_angstrom": [[3.277, 0.000, 0.000], [0.000, 3.277, 0.000], [0.000, 0.000, 8.330]], "species": ["Ca", "Ca", "Cu", "Re"], "fractional_positions": [[0.000, 0.000, 0.000], [0.500, 0.500, 0.402], [0.000, 0.000, 0.636], [0.500, 0.500, 0.756]], "formation_energy_ev_per_atom": 0.530, "sg": "No. 99", "total_magnetization_mub_per_fu": 1.41}

{"formula": "CaCu4Rh", "functional": "meta-GGA SCAN", "state": "PBEsol geometry", "lattice_angstrom": [[0.000, 3.459, 3.459], [3.459, 0.000, 3.459], [3.459, 3.459, 0.000]], "species": ["Ca", "Cu", "Cu", "Cu", "Cu", "Rh"], "fractional_positions": [[0.000, 0.000, 0.000], [0.127, 0.624, 0.624], [0.624, 0.127, 0.624], [0.624, 0.624, 0.127], [0.624, 0.624, 0.624], [0.250, 0.250, 0.250]], "formation_energy_ev_per_atom": -0.078, "sg": "No. 216", "total_magnetization_mub_per_fu": 0.00}

{"formula": "CaCu2Ru", "functional": "meta-GGA SCAN", "state": "PBEsol geometry", "lattice_angstrom": [[3.019, 0.000, 0.000], [0.000, 4.493, 0.000], [0.000, 0.000, 8.926]], "species": ["Ca", "Ca", "Cu", "Cu", "Cu", "Cu", "Ru", "Ru"], "fractional_positions": [[0.000, 0.000, 0.000], [0.500, 0.500, 0.500], [0.000, 0.000, 0.488], [0.000, 0.500, 0.770], [0.500, 0.000, 0.270], [0.500, 0.500, 0.988], [0.000, 0.500, 0.223], [0.500, 0.000, 0.723]], "formation_energy_ev_per_atom": 0.347, "sg": "No. 44", "total_magnetization_mub_per_fu": 0.72}

{"formula": "CaCuRu", "functional": "meta-GGA SCAN", "state": "PBEsol geometry", "lattice_angstrom": [[6.162, 0.000, 0.000], [0.000, 6.162, 0.000], [0.000, 0.000, 6.162]], "species": ["Ca", "Ca", "Ca", "Ca", "Cu", "Cu", "Cu", "Cu", "Ru", "Ru", "Ru", "Ru"], "fractional_positions": [[0.000, 0.000, 0.000], [0.000, 0.500, 0.500], [0.500, 0.000, 0.500], [0.500, 0.500, 0.000], [0.250, 0.250, 0.750], [0.250, 0.750, 0.250], [0.750, 0.250, 0.250], [0.750, 0.750, 0.750], [0.250, 0.250, 0.250], [0.250, 0.750, 0.750], [0.750, 0.250, 0.750], [0.750, 0.750, 0.250]], "formation_energy_ev_per_atom": 1.371, "sg": "No. 216", "total_magnetization_mub_per_fu": 1.00}

{"formula": "CaZrCu2S", "functional": "meta-GGA SCAN", "state": "PBEsol geometry", "lattice_angstrom": [[4.661, 0.000, 0.000], [0.000, 4.661, 0.000], [0.000, 0.000, 6.469]], "species": ["Ca", "Zr", "Cu", "Cu", "S"], "fractional_positions": [[0.000, 0.000, 0.000], [0.000, 0.000, 0.500], [0.000, 0.500, 0.500], [0.500, 0.000, 0.500], [0.500, 0.500, 0.000]], "raw_formation_energy_mev_per_atom": 1001, "sg": "No. 123", "total_magnetization_mub_per_fu": 1.79}

{"formula": "CaCu2Sb2", "functional": "meta-GGA SCAN", "state": "PBEsol geometry", "lattice_angstrom": [[4.248, 0.000, 0.000], [0.000, 4.248, 0.000], [0.000, 0.000, 11.829]], "species": ["Ca", "Ca", "Cu", "Cu", "Cu", "Cu", "Sb", "Sb", "Sb", "Sb"], "fractional_positions": [[0.000, 0.000, 0.000], [0.500, 0.500, 0.500], [0.000, 0.500, 0.250], [0.000, 0.500, 0.750], [0.500, 0.000, 0.250], [0.500, 0.000, 0.750], [0.000, 0.000, 0.374], [0.000, 0.000, 0.626], [0.500, 0.500, 0.126], [0.500, 0.500, 0.874]], "raw_formation_energy_mev_per_atom": -365, "sg": "No. 139", "total_magnetization_mub_per_fu": 0.00}

{"formula": "Ca2CuSb", "functional": "meta-GGA SCAN", "state": "PBEsol geometry", "lattice_angstrom": [[4.395, 0.000, 0.000], [0.000, 4.395, 0.000], [0.000, 0.000, 10.106]], "species": ["Ca", "Ca", "Ca", "Ca", "Cu", "Cu", "Sb", "Sb"], "fractional_positions": [[0.000, 0.000, 0.000], [0.000, 0.500, 0.250], [0.500, 0.000, 0.750], [0.500, 0.500, 0.500], [0.000, 0.000, 0.500], [0.500, 0.500, 0.000], [0.000, 0.500, 0.750], [0.500, 0.000, 0.250]], "raw_formation_energy_mev_per_atom": -361, "sg": "No. 119", "total_magnetization_mub_per_fu": 0.00}

{"formula": "CaCuSb2", "functional": "meta-GGA SCAN", "state": "PBEsol geometry", "lattice_angstrom": [[3.795, 0.000, 0.000], [0.000, 3.795, 0.000], [0.000, 0.000, 6.504]], "species": ["Ca", "Cu", "Sb", "Sb"], "fractional_positions": [[0.000, 0.000, 0.000], [0.500, 0.500, 0.338], [0.000, 0.000, 0.468], [0.500, 0.500, 0.747]], "raw_formation_energy_mev_per_atom": -159, "sg": "No. 99", "total_magnetization_mub_per_fu": 0.00}

{"formula": "Ca2CuSb", "functional": "meta-GGA SCAN", "state": "PBEsol geometry", "lattice_angstrom": [[3.903, 0.000, 0.000], [0.000, 5.003, 0.000], [0.000, 0.000, 5.004]], "species": ["Ca", "Ca", "Cu", "Sb"], "fractional_positions": [[0.000, 0.000, 0.000], [0.000, 0.500, 0.497], [0.500, 0.000, 0.505], [0.500, 0.500, 0.995]], "raw_formation_energy_mev_per_atom": -507, "sg": "No. 25", "total_magnetization_mub_per_fu": 0.00}

{"formula": "CaCuSb2Te", "functional": "meta-GGA SCAN", "state": "PBEsol geometry", "lattice_angstrom": [[5.009, 0.000, 0.000], [0.000, 5.009, 0.000], [0.000, 0.000, 5.397]], "species": ["Ca", "Cu", "Sb", "Sb", "Te"], "fractional_positions": [[0.000, 0.000, 0.000], [0.500, 0.500, 0.500], [0.000, 0.500, 0.500], [0.500, 0.000, 0.500], [0.500, 0.500, 0.000]], "raw_formation_energy_mev_per_atom": -125, "sg": "No. 123", "total_magnetization_mub_per_fu": 0.00}

{"formula": "Ca2TiCuSb", "functional": "meta-GGA SCAN", "state": "PBEsol geometry", "lattice_angstrom": [[5.236, 0.000, 0.000], [0.000, 5.236, 0.000], [0.000, 0.000, 4.694]], "species": ["Ca", "Ca", "Ti", "Cu", "Sb"], "fractional_positions": [[0.000, 0.500, 0.000], [0.500, 0.000, 0.000], [0.000, 0.000, 0.500], [0.000, 0.000, 0.000], [0.500, 0.500, 0.500]], "raw_formation_energy_mev_per_atom": -26, "sg": "No. 123", "total_magnetization_mub_per_fu": 2.62}

{"formula": "Ca2ScCu", "functional": "meta-GGA SCAN", "state": "PBEsol geometry", "lattice_angstrom": [[4.489, 0.000, 0.000], [0.000, 4.489, 0.000], [0.000, 0.000, 9.942]], "species": ["Ca", "Ca", "Ca", "Ca", "Sc", "Sc", "Cu", "Cu"], "fractional_positions": [[0.000, 0.500, 0.250], [0.000, 0.500, 0.750], [0.500, 0.000, 0.250], [0.500, 0.000, 0.750], [0.000, 0.000, 0.000], [0.500, 0.500, 0.500], [0.000, 0.000, 0.500], [0.500, 0.500, 0.000]], "formation_energy_ev_per_atom": 0.343, "sg": "No. 139", "total_magnetization_mub_per_fu": 0.00}